Record 1
# Pm2ZnGa12, optimized geometry, DFT GGA-PBE
data_Pm2ZnGa12
_space_group_name_H-M_alt 'P 1'
_space_group_IT_number 1
_space_group_name_Hall 'P 1'
_cell_length_a 6.2686
_cell_length_b 6.2686
_cell_length_c 15.1284
_cell_angle_alpha 90.00
_cell_angle_beta 90.00
_cell_angle_gamma 90.00
loop_
_atom_site_label
_atom_site_type_symbol
_atom_site_fract_x
_atom_site_fract_y
_atom_site_fract_z
Pm1 Pm 0.5000 0.0000 0.2465
Pm2 Pm 0.0000 0.5000 0.2465
Pm3 Pm 0.0000 0.5000 0.7535
Pm4 Pm 0.5000 0.0000 0.7535
Zn1 Zn 0.5000 0.0000 0.0000
Zn2 Zn 0.0000 0.5000 0.0000
Ga1 Ga 0.5000 0.5000 0.8190
Ga2 Ga 0.0000 0.0000 0.8190
Ga3 Ga 0.7507 0.7493 0.9105
Ga4 Ga 0.2507 0.7507 0.9105
Ga5 Ga 0.0000 0.0000 0.3439
Ga6 Ga 0.2493 0.7493 0.0895
Ga7 Ga 0.8305 0.3305 0.5707
Ga8 Ga 0.5000 0.5000 0.3439
Ga9 Ga 0.2493 0.2507 0.9105
Ga10 Ga 0.7493 0.7507 0.0895
Ga11 Ga 0.3305 0.1695 0.5707
Ga12 Ga 0.6695 0.1695 0.4293
Ga13 Ga 0.0000 0.0000 0.6561
Ga14 Ga 0.1695 0.3305 0.4293
Ga15 Ga 0.2507 0.2493 0.0895
Ga16 Ga 0.8305 0.6695 0.4293
Ga17 Ga 0.6695 0.8305 0.5707
Ga18 Ga 0.0000 0.0000 0.1810
Ga19 Ga 0.1695 0.6695 0.5707
Ga20 Ga 0.5000 0.5000 0.6561
Ga21 Ga 0.7493 0.2493 0.9105
Ga22 Ga 0.5000 0.5000 0.1810
Ga23 Ga 0.3305 0.8305 0.4293
Ga24 Ga 0.7507 0.2507 0.0895
# total energy: -3.441 eV/atom
# energy of formation from the pure elements: -0.30 eV/atom
# SG: P4/nbm (125)
# mass density: 6.66 g/cm3

***

Record 2
# Pm5Zn4Ga, optimized geometry, DFT GGA-PBE
data_Pm5Zn4Ga
_space_group_name_H-M_alt 'P 1'
_space_group_IT_number 1
_space_group_name_Hall 'P 1'
_cell_length_a 3.6542
_cell_length_b 3.6542
_cell_length_c 18.4032
_cell_angle_alpha 90.00
_cell_angle_beta 90.00
_cell_angle_gamma 90.00
loop_
_atom_site_label
_atom_site_type_symbol
_atom_site_fract_x
_atom_site_fract_y
_atom_site_fract_z
Pm1 Pm 0.5000 0.5000 0.1002
Pm2 Pm 0.5000 0.5000 0.3000
Pm3 Pm 0.5000 0.5000 0.5000
Pm4 Pm 0.5000 0.5000 0.7000
Pm5 Pm 0.5000 0.5000 0.8998
Zn1 Zn 0.0000 0.0000 0.2016
Zn2 Zn 0.0000 0.0000 0.3998
Zn3 Zn 0.0000 0.0000 0.6002
Zn4 Zn 0.0000 0.0000 0.7984
Ga1 Ga 0.0000 0.0000 0.0000
# total energy: -3.549 eV/atom
# energy of formation from the pure elements: -0.36 eV/atom
# SG: P4/mmm (123)
# mass density: 7.14 g/cm3

***

Record 3
# PmZnGa4, optimized geometry, DFT GGA-PBE
data_PmZnGa4
_space_group_name_H-M_alt 'P 1'
_space_group_IT_number 1
_space_group_name_Hall 'P 1'
_cell_length_a 5.5437
_cell_length_b 5.5437
_cell_length_c 5.5437
_cell_angle_alpha 60.00
_cell_angle_beta 60.00
_cell_angle_gamma 60.00
loop_
_atom_site_label
_atom_site_type_symbol
_atom_site_fract_x
_atom_site_fract_y
_atom_site_fract_z
Zn1 Zn 0.0000 0.0000 0.0000
Ga1 Ga 0.6251 0.6251 0.1248
Ga2 Ga 0.6251 0.1248 0.6251
Ga3 Ga 0.6251 0.6251 0.6251
Ga4 Ga 0.1248 0.6251 0.6251
Pm1 Pm 0.2500 0.2500 0.2500
# total energy: -3.217 eV/atom
# energy of formation from the pure elements: -0.20 eV/atom
# SG: F-43m (216)
# mass density: 6.74 g/cm3

***

Record 4
# Pm3Zn4Ga4, optimized geometry, DFT GGA-PBE
data_Pm3Zn4Ga4
_space_group_name_H-M_alt 'P 1'
_space_group_IT_number 1
_space_group_name_Hall 'P 1'
_cell_length_a 4.3508
_cell_length_b 4.0620
_cell_length_c 13.2465
_cell_angle_alpha 98.82
_cell_angle_beta 99.45
_cell_angle_gamma 90.00
loop_
_atom_site_label
_atom_site_type_symbol
_atom_site_fract_x
_atom_site_fract_y
_atom_site_fract_z
Pm1 Pm 0.3508 0.8508 0.7017
Pm2 Pm 0.6492 0.1492 0.2983
Pm3 Pm 0.0000 0.0000 0.0000
Zn1 Zn 0.2520 0.2520 0.5040
Zn2 Zn 0.0956 0.5956 0.1912
Zn3 Zn 0.9044 0.4044 0.8088
Zn4 Zn 0.7480 0.7480 0.4960
Ga1 Ga 0.8084 0.3084 0.6168
Ga2 Ga 0.4506 0.4506 0.9012
Ga3 Ga 0.5494 0.5494 0.0988
Ga4 Ga 0.1916 0.6916 0.3832
# total energy: -3.369 eV/atom
# energy of formation from the pure elements: -0.51 eV/atom
# SG: Immm (71)
# mass density: 7.10 g/cm3

***

Record 5
# Pm3Zn8Ga, optimized geometry, DFT GGA-PBE
data_Pm3Zn8Ga
_space_group_name_H-M_alt 'P 1'
_space_group_IT_number 1
_space_group_name_Hall 'P 1'
_cell_length_a 5.5311
_cell_length_b 5.5311
_cell_length_c 9.4321
_cell_angle_alpha 72.95
_cell_angle_beta 72.95
_cell_angle_gamma 60.00
loop_
_atom_site_label
_atom_site_type_symbol
_atom_site_fract_x
_atom_site_fract_y
_atom_site_fract_z
Pm1 Pm 0.3783 0.3783 0.8651
Pm2 Pm 0.9904 0.9904 0.0289
Pm3 Pm 0.5051 0.5051 0.4847
Zn1 Zn 0.9377 0.4386 0.1850
Zn2 Zn 0.4352 0.9400 0.6849
Zn3 Zn 0.4386 0.4386 0.1850
Zn4 Zn 0.9400 0.9400 0.6849
Zn5 Zn 0.1874 0.1874 0.4379
Zn6 Zn 0.6896 0.6896 0.9312
Zn7 Zn 0.4386 0.9377 0.1850
Zn8 Zn 0.9400 0.4352 0.6849
Ga1 Ga 0.8692 0.8692 0.3925
# total energy: -2.546 eV/atom
# energy of formation from the pure elements: -0.26 eV/atom
# SG: R3m (160)
# mass density: 7.26 g/cm3

***

Record 6
# Pm2ZnGa3, optimized geometry, DFT GGA-PBE
data_Pm2ZnGa3
_space_group_name_H-M_alt 'P 1'
_space_group_IT_number 1
_space_group_name_Hall 'P 1'
_cell_length_a 4.1089
_cell_length_b 4.3494
_cell_length_c 8.0926
_cell_angle_alpha 105.59
_cell_angle_beta 104.71
_cell_angle_gamma 90.00
loop_
_atom_site_label
_atom_site_type_symbol
_atom_site_fract_x
_atom_site_fract_y
_atom_site_fract_z
Pm1 Pm 0.1307 0.1307 0.2615
Pm2 Pm 0.8693 0.3693 0.7386
Zn1 Zn 0.4598 0.9598 0.9195
Ga1 Ga 0.7056 0.7056 0.4112
Ga2 Ga 0.5394 0.5394 0.0789
Ga3 Ga 0.2952 0.7952 0.5903
# total energy: -3.911 eV/atom
# energy of formation from the pure elements: -0.60 eV/atom
# SG: Imm2 (44)
# mass density: 6.98 g/cm3

***

Record 7
# PmZn2Ga4, optimized geometry, DFT GGA-PBE
data_PmZn2Ga4
_space_group_name_H-M_alt 'P 1'
_space_group_IT_number 1
_space_group_name_Hall 'P 1'
_cell_length_a 4.7978
_cell_length_b 6.0162
_cell_length_c 6.0162
_cell_angle_alpha 62.19
_cell_angle_beta 64.83
_cell_angle_gamma 64.83
loop_
_atom_site_label
_atom_site_type_symbol
_atom_site_fract_x
_atom_site_fract_y
_atom_site_fract_z
Pm1 Pm 0.0000 0.0000 0.0000
Zn1 Zn 0.7921 0.4660 0.4660
Zn2 Zn 0.2079 0.5340 0.5340
Ga1 Ga 0.6858 0.5940 0.0201
Ga2 Ga 0.3142 0.4060 0.9799
Ga3 Ga 0.6858 0.0201 0.5940
Ga4 Ga 0.3142 0.9799 0.4060
# total energy: -3.034 eV/atom
# energy of formation from the pure elements: -0.26 eV/atom
# SG: C2/m (12)
# mass density: 6.91 g/cm3

***

Record 8
# Pm8Zn2Ga, optimized geometry, DFT GGA-PBE
data_Pm8Zn2Ga
_space_group_name_H-M_alt 'P 1'
_space_group_IT_number 1
_space_group_name_Hall 'P 1'
_cell_length_a 5.0537
_cell_length_b 8.4901
_cell_length_c 8.8654
_cell_angle_alpha 118.61
_cell_angle_beta 106.56
_cell_angle_gamma 90.00
loop_
_atom_site_label
_atom_site_type_symbol
_atom_site_fract_x
_atom_site_fract_y
_atom_site_fract_z
Pm1 Pm 0.6612 0.8858 0.3224
Pm2 Pm 0.3388 0.5633 0.6776
Pm3 Pm 0.1344 0.1344 0.2688
Pm4 Pm 0.0000 0.3183 0.0000
Pm5 Pm 0.8656 0.8656 0.7312
Pm6 Pm 0.6612 0.4367 0.3224
Pm7 Pm 0.3388 0.1142 0.6776
Pm8 Pm 0.0000 0.6817 0.0000
Zn1 Zn 0.1940 0.6940 0.3880
Zn2 Zn 0.8060 0.3060 0.6120
Ga1 Ga 0.5000 0.0000 0.0000
# total energy: -4.087 eV/atom
# energy of formation from the pure elements: -0.12 eV/atom
# SG: Immm (71)
# mass density: 7.15 g/cm3

***

Record 9
# PmZn4Ga3, optimized geometry, DFT GGA-PBE
data_PmZn4Ga3
_space_group_name_H-M_alt 'P 1'
_space_group_IT_number 1
_space_group_name_Hall 'P 1'
_cell_length_a 4.2832
_cell_length_b 4.2832
_cell_length_c 8.0993
_cell_angle_alpha 90.00
_cell_angle_beta 90.00
_cell_angle_gamma 90.00
loop_
_atom_site_label
_atom_site_type_symbol
_atom_site_fract_x
_atom_site_fract_y
_atom_site_fract_z
Zn1 Zn 0.5000 0.0000 0.1796
Zn2 Zn 0.0000 0.5000 0.1796
Zn3 Zn 0.5000 0.0000 0.8204
Zn4 Zn 0.0000 0.5000 0.8204
Ga1 Ga 0.0000 0.0000 0.0000
Ga2 Ga 0.5000 0.5000 0.3505
Ga3 Ga 0.5000 0.5000 0.6495
Pm1 Pm 0.0000 0.0000 0.5000
# total energy: -2.646 eV/atom
# energy of formation from the pure elements: -0.28 eV/atom
# SG: P4/mmm (123)
# mass density: 6.88 g/cm3

***

Record 10
# Pm6Zn2Ga, optimized geometry, DFT GGA-PBE
data_Pm6Zn2Ga
_space_group_name_H-M_alt 'P 1'
_space_group_IT_number 1
_space_group_name_Hall 'P 1'
_cell_length_a 8.7245
_cell_length_b 8.7245
_cell_length_c 8.7245
_cell_angle_alpha 110.07
_cell_angle_beta 109.56
_cell_angle_gamma 108.79
loop_
_atom_site_label
_atom_site_type_symbol
_atom_site_fract_x
_atom_site_fract_y
_atom_site_fract_z
Pm1 Pm 0.5603 0.7376 0.8227
Pm2 Pm 0.4397 0.2624 0.1773
Pm3 Pm 0.0851 0.2624 0.8227
Pm4 Pm 0.9149 0.7376 0.1773
Pm5 Pm 0.8012 0.7503 0.5514
Pm6 Pm 0.1988 0.2497 0.4486
Pm7 Pm 0.1988 0.7503 0.9491
Pm8 Pm 0.8012 0.2497 0.0509
Pm9 Pm 0.7228 0.3992 0.6764
Pm10 Pm 0.2772 0.6008 0.3236
Pm11 Pm 0.2772 0.9536 0.6764
Pm12 Pm 0.7228 0.0464 0.3236
Zn1 Zn 0.5000 0.3731 0.8731
Zn2 Zn 0.5000 0.6269 0.1269
Zn3 Zn 0.6334 0.0000 0.6334
Zn4 Zn 0.3666 0.0000 0.3666
Ga1 Ga 0.0000 0.5000 0.5000
Ga2 Ga 0.0000 0.0000 0.0000
# total energy: -4.013 eV/atom
# energy of formation from the pure elements: -0.23 eV/atom
# SG: Immm (71)
# mass density: 6.96 g/cm3

***

Record 11
# Pm3Zn4Ga2, optimized geometry, DFT GGA-PBE
data_Pm3Zn4Ga2
_space_group_name_H-M_alt 'P 1'
_space_group_IT_number 1
_space_group_name_Hall 'P 1'
_cell_length_a 4.5112
_cell_length_b 5.8249
_cell_length_c 8.6362
_cell_angle_alpha 109.39
_cell_angle_beta 90.00
_cell_angle_gamma 112.78
loop_
_atom_site_label
_atom_site_type_symbol
_atom_site_fract_x
_atom_site_fract_y
_atom_site_fract_z
Pm1 Pm 0.6670 0.3341 0.6690
Pm2 Pm 0.0000 0.0000 0.0000
Pm3 Pm 0.3330 0.6659 0.3310
Zn1 Zn 0.7160 0.4320 0.0472
Zn2 Zn 0.2840 0.5680 0.9528
Zn3 Zn 0.9372 0.8743 0.6026
Zn4 Zn 0.0628 0.1257 0.3974
Ga1 Ga 0.6107 0.2214 0.2770
Ga2 Ga 0.3893 0.7786 0.7230
# total energy: -3.308 eV/atom
# energy of formation from the pure elements: -0.49 eV/atom
# SG: C2/m (12)
# mass density: 7.11 g/cm3

***

Record 12
# Pm5Zn2Ga5, optimized geometry, DFT GGA-PBE
data_Pm5Zn2Ga5
_space_group_name_H-M_alt 'P 1'
_space_group_IT_number 1
_space_group_name_Hall 'P 1'
_cell_length_a 4.5726
_cell_length_b 8.1881
_cell_length_c 8.3491
_cell_angle_alpha 98.03
_cell_angle_beta 74.11
_cell_angle_gamma 73.79
loop_
_atom_site_label
_atom_site_type_symbol
_atom_site_fract_x
_atom_site_fract_y
_atom_site_fract_z
Pm1 Pm 0.0000 0.5000 0.5000
Pm2 Pm 0.6912 0.6742 0.9433
Pm3 Pm 0.3206 0.0248 0.3339
Pm4 Pm 0.6794 0.9752 0.6661
Pm5 Pm 0.3088 0.3258 0.0567
Zn1 Zn 0.4666 0.3742 0.6925
Zn2 Zn 0.5334 0.6258 0.3075
Ga1 Ga 0.7073 0.2773 0.3082
Ga2 Ga 0.9921 0.2450 0.7709
Ga3 Ga 0.0079 0.7550 0.2291
Ga4 Ga 0.2927 0.7227 0.6918
Ga5 Ga 0.0000 0.0000 0.0000
# total energy: -3.965 eV/atom
# energy of formation from the pure elements: -0.51 eV/atom
# SG: C2/m (12)
# mass density: 7.13 g/cm3

***

mass density of number 9 (PmZn4Ga3)? 6.88 g/cm3

***

The lowest total energy belongs to which entry? Pm8Zn2Ga

***

The highest total energy belongs to which entry? Pm3Zn8Ga